No. 1
## Cu2TeBr (PBE)

Data for an optimized crystal structure of Cu2TeBr.

Summary:
**Fermi-level density of states**: 3.86 states/eV/cell

```
data_Cu2TeBr
_space_group_name_H-M_alt 'P 1 m 1'
_space_group_IT_number 6
_space_group_name_Hall 'P -2y'
_cell_length_a 6.857
_cell_length_b 3.712
_cell_length_c 7.348
_cell_angle_alpha 90.00
_cell_angle_beta 93.46
_cell_angle_gamma 90.00
loop_
_atom_site_label
_atom_site_type_symbol
_atom_site_fract_x
_atom_site_fract_y
_atom_site_fract_z
Cu1 Cu 0.000 0.000 0.000
Cu2 Cu 0.032 0.500 0.495
Cu3 Cu 0.403 0.500 0.890
Cu4 Cu 0.436 0.000 0.391
Te1 Te 0.215 0.000 0.697
Te2 Te 0.220 0.500 0.196
Br1 Br 0.680 0.500 0.453
Br2 Br 0.753 0.500 0.953
```

---

No. 2
## Cu2TeBr (PBE)

Data for an optimized crystal structure of Cu2TeBr.

Summary:
**Fermi-level density of states**: 24.36 states/eV/cell

```
data_Cu2TeBr
_space_group_name_H-M_alt 'F m -3 m'
_space_group_IT_number 225
_space_group_name_Hall '-F 4 2 3'
_cell_length_a 6.850
_cell_length_b 6.850
_cell_length_c 6.850
_cell_angle_alpha 90.00
_cell_angle_beta 90.00
_cell_angle_gamma 90.00
loop_
_atom_site_label
_atom_site_type_symbol
_atom_site_fract_x
_atom_site_fract_y
_atom_site_fract_z
Cu1 Cu 0.250 0.250 0.250
Te1 Te 0.000 0.000 0.000
Br1 Br 0.000 0.000 0.500
```

---

no.,total energy (eV per atom),formation energy (no corrections) (eV per atom),size of the total moment (μB per formula unit)
1,-3.315,-0.064,0.00
2,-2.778,0.473,0.00